# KLiPt2 | Alexandria | PBE | relaxed
data_KLiPt2
_space_group_name_H-M_alt 'P 1'
_space_group_IT_number 1
_space_group_name_Hall 'P 1'
_cell_length_a 3.5434
_cell_length_b 3.5434
_cell_length_c 7.8221
_cell_angle_alpha 90.00
_cell_angle_beta 90.00
_cell_angle_gamma 90.00
loop_
_atom_site_label
_atom_site_fract_x
_atom_site_fract_y
_atom_site_fract_z
K1 0.0000 0.0000 0.0000
Li1 0.5000 0.5000 0.3931
Pt1 0.0000 0.0000 0.5949
Pt2 0.5000 0.5000 0.6977
# Energy of formation ... -0.0149 eV/atom
# Magnetization ... 0.00 μB/f.u.
# SG ... No. 99
# Energy above the lowest structure with this stoichiometry ... 154 meV/atom